[1]
Density functional theory data (PBE-GGA) for a relaxed structure of Y2TmTh.

For the formation energy, the calculation gives 0.041 eV/atom. For the distance to the lowest polymorph of the same formula, the calculation gives 41 meV/atom.

The space group is R3m (No. 160, hexagonal axes) and the conventional cell measures 3.5663, 3.5663 and 34.6580 Å, with angles of 90.00, 90.00 and 120.00 degrees. The inequivalent atoms are Y at (0.0000, 0.0000, 0.0000), Y at (0.0000, 0.0000, 0.1686), Tm at (0.0000, 0.0000, 0.5845) and Th at (0.0000, 0.0000, 0.7501).

***

[2]
Density functional theory data (PBE-GGA) for a relaxed structure of Pu2ZnRh.

For the formation energy, the calculation gives 0.189 eV/atom.

The space group is P4/mmm (No. 123) and the conventional cell measures 3.5878, 3.5878 and 5.0112 Å, with angles of 90.00, 90.00 and 90.00 degrees. The inequivalent atoms are Pu at (0.0000, 0.5000, 0.0000), Zn at (0.0000, 0.0000, 0.5000) and Rh at (0.5000, 0.5000, 0.5000).

***

[3]
Density functional theory data (PBE-GGA) for a relaxed structure of Nd2P3Pt6.

For the formation energy, the calculation gives -0.961 eV/atom.

The space group is P-62m (No. 189) and the conventional cell measures 7.4198, 7.4198 and 4.1563 Å, with angles of 90.00, 90.00 and 120.00 degrees. The inequivalent atoms are Nd at (0.3333, 0.6667, 0.0000), P at (0.0000, 0.3619, 0.5000), Pt at (0.0000, 0.2117, 0.0000) and Pt at (0.0000, 0.6773, 0.5000).

***

[4]
Density functional theory data (PBE-GGA) for a relaxed structure of Sr2LiAg2Pd5.

For the formation energy, the calculation gives -0.325 eV/atom.

The space group is P4/mbm (No. 127) and the conventional cell measures 9.9783, 9.9783 and 4.0565 Å, with angles of 90.00, 90.00 and 90.00 degrees. The inequivalent atoms are Sr at (0.1751, 0.3249, 0.0000), Li at (0.0000, 0.0000, 0.0000), Ag at (0.1249, 0.6249, 0.0000), Pd at (0.0000, 0.5000, 0.5000) and Pd at (0.0558, 0.8055, 0.5000).

***

[5]
Density functional theory data (PBE-GGA) for a relaxed structure of TbSm5Y2Th.

For the formation energy, the calculation gives 0.155 eV/atom.

The space group is Cmc2_1 (No. 36) and the conventional cell measures 5.6691, 20.3519 and 10.5596 Å, with angles of 90.00, 90.00 and 90.00 degrees. The inequivalent atoms are Tb at (0.0000, 0.0920, 0.0000), Sm at (0.0000, 0.0212, 0.2888), Sm at (0.0000, 0.1091, 0.5726), Sm at (0.0000, 0.2056, 0.2493), Sm at (0.0000, 0.2221, 0.8572), Sm at (0.0000, 0.4836, 0.5675), Y at (0.0000, 0.3840, 0.8638), Y at (0.0000, 0.3877, 0.2808) and Th at (0.0000, 0.2992, 0.5572).

***

[6]
Density functional theory data (PBE-GGA) for a relaxed structure of In3NiOs.

For the formation energy, the calculation gives 0.822 eV/atom. For the distance to the lowest polymorph of the same formula, the calculation gives 0 meV/atom.

The space group is Pm-3m (No. 221) and the conventional cell measures 5.1230, 5.1230 and 5.1230 Å, with angles of 90.00, 90.00 and 90.00 degrees. The inequivalent atoms are In at (0.0000, 0.0000, 0.5000), Ni at (0.5000, 0.5000, 0.5000) and Os at (0.0000, 0.0000, 0.0000).